Entry 1:
Entry from the Alexandria database: crystalline TaAl2AuS at its relaxed geometry (PBE-GGA).

Cell lengths 5.1976, 5.1976, 4.9944 Å; angles 90.00, 90.00, 90.00 degrees
Each line ends with the local moment (μB).
Element x y z (fractional)
1 Ta 0.0000 0.0000 0.0000  0.30
2 Au 0.0000 0.0000 0.5000  0.00
3 S 0.5000 0.5000 0.5000  0.15
4 Al 0.0000 0.5000 0.0000  0.01
5 Al 0.5000 0.0000 0.0000  0.01

Results
E = -20.86 eV for the cell shown

Entry 2:
Entry from the Alexandria database: crystalline Rh3ICl7 at its relaxed geometry (PBE-GGA).

Cell lengths 7.2939, 7.3138, 7.0849 Å; angles 73.83, 59.02, 60.09 degrees
Element x y z (fractional)
1 Rh 0.0705 0.7526 0.6046
2 Rh 0.5723 0.7526 0.6046
3 Rh 0.0707 0.2548 0.6038
4 Cl 0.2921 0.6088 0.8071
5 Cl 0.8338 0.0676 0.8051
6 Cl 0.8521 0.8975 0.3982
7 Cl 0.3516 0.9222 0.3745
8 Cl 0.2935 0.0676 0.8051
9 Cl 0.3118 0.4394 0.3985
10 Cl 0.8503 0.4394 0.3985
11 I 0.7756 0.5799 0.8689

Results
E = -41.96 eV for the cell shown

Entry 3:
Entry from the Alexandria database: crystalline LiSi2W at its relaxed geometry (PBE-GGA).

Cell lengths 4.4652, 4.4652, 5.2148 Å; angles 81.78, 81.78, 35.41 degrees
Element x y z (fractional)
1 Si 0.9937 0.9937 0.0261
2 Si 0.5063 0.5063 0.4739
3 Li 0.7500 0.7500 0.7500
4 W 0.2500 0.2500 0.2500

Results
E = -25.34 eV for the cell shown

Entry 4:
Entry from the Alexandria database: crystalline ZnCu2Sn2 at its relaxed geometry (PBE-GGA).

Cell lengths 7.7071, 7.7071, 3.3006 Å; angles 90.00, 90.00, 90.00 degrees
Element x y z (fractional)
1 Zn 0.5000 0.5000 0.0000
2 Zn 0.0000 0.0000 0.0000
3 Cu 0.1137 0.6137 0.5000
4 Cu 0.6137 0.8863 0.5000
5 Cu 0.8863 0.3863 0.5000
6 Cu 0.3863 0.1137 0.5000
7 Sn 0.3181 0.8181 0.0000
8 Sn 0.6819 0.1819 0.0000
9 Sn 0.8181 0.6819 0.0000
10 Sn 0.1819 0.3181 0.0000

Results
energy of formation = 1.04 eV/f.u.

Entry 5:
Entry from the Alexandria database: crystalline Ce2ThO6 at its relaxed geometry (PBE-GGA).

Cell lengths 3.9027, 3.9027, 8.7217 Å; angles 102.93, 102.93, 90.00 degrees
Element x y z (fractional)
1 O 0.7500 0.2500 0.5000
2 O 0.9147 0.4147 0.8294
3 O 0.2500 0.7500 0.5000
4 O 0.5853 0.0853 0.1706
5 O 0.4147 0.9147 0.8294
6 O 0.0853 0.5853 0.1706
7 Th 0.0000 0.0000 0.0000
8 Ce 0.3319 0.3319 0.6638
9 Ce 0.6681 0.6681 0.3362

Results
E = -81.45 eV for the cell shown

Entry 6:
Entry from the Alexandria database: crystalline Sm8Se3S3N at its relaxed geometry (PBE-GGA).

Cell lengths 8.0302, 8.0295, 8.1493 Å; angles 119.52, 90.00, 120.00 degrees
Element x y z (fractional)
1 Sm 0.7779 0.0095 0.2874
2 Sm 0.7426 0.4853 0.7279
3 Sm 0.2222 0.4443 0.7127
4 Sm 0.2317 0.0095 0.2874
5 Sm 0.2221 0.9905 0.7126
6 Sm 0.7778 0.5557 0.2873
7 Sm 0.2574 0.5147 0.2721
8 Sm 0.7683 0.9905 0.7126
9 S 0.0000 0.5000 0.5000
10 S 0.5000 0.5000 0.5000
11 S 0.5000 0.0000 0.5000
12 Se 0.0000 0.5000 0.0000
13 Se 0.0000 0.0000 0.0000
14 Se 0.5000 0.5000 0.0000
15 N 0.0000 0.0000 0.5000

Results
E = -94.63 eV for the cell shown